one) The following is a PBE-GGA calculation of a geometry-optimized TcS2 structure, from the Open Quantum Materials Database.

crystal system	hexagonal
V	19.2	Å³/atom

a = 3.2854 Å, b = 3.2854 Å, c = 24.5847 Å
α = 90.00°, β = 90.00°, γ = 120.00°
With the nearest neighbours (Å) after each atom.
Atoms (fractional coordinates):
Tc 0.3333 0.6667 0.0000  6 S 2.39
Tc 0.3333 0.6667 0.2534  6 S 2.39
Tc 0.6667 0.3333 0.5000  6 S 2.39
Tc 0.6667 0.3333 0.7534  6 S 2.39
S 0.0000 0.0000 0.1945  3 Tc 2.39
S 0.0000 0.0000 0.3124  3 Tc 2.39
S 0.0000 0.0000 0.6945  3 Tc 2.39
S 0.0000 0.0000 0.8124  3 Tc 2.39
S 0.3333 0.6667 0.4410  3 Tc 2.39
S 0.3333 0.6667 0.5590  3 Tc 2.39
S 0.6667 0.3333 0.0590  3 Tc 2.39
S 0.6667 0.3333 0.9410  3 Tc 2.39

two) The following is a PBE-GGA calculation of a geometry-optimized TcS2 structure, from the Open Quantum Materials Database.

crystal system	cubic
V	42.6	Å³/atom

a = 7.1240 Å, b = 7.1240 Å, c = 7.1240 Å
α = 60.00°, β = 60.00°, γ = 60.00°
With the nearest neighbours (Å) after each atom.
Atoms (fractional coordinates):
Tc 0.1250 0.1250 0.1250  4 S 2.18
Tc 0.8750 0.8750 0.8750  4 S 2.18
S 0.0000 0.0000 0.0000  2 Tc 2.18
S 0.0000 0.0000 0.5000  2 Tc 2.18
S 0.0000 0.5000 0.0000  2 Tc 2.18
S 0.5000 0.0000 0.0000  2 Tc 2.18

Top of the stability list: one), leading by 344 meV per atom.

one) The following is a PBE-GGA calculation of a geometry-optimized TcS2 structure, from the Open Quantum Materials Database.

crystal system	orthorhombic
V	27.0	Å³/atom

a = 3.2785 Å, b = 3.2785 Å, c = 34.7813 Å
α = 90.00°, β = 90.00°, γ = 119.99°
With the nearest neighbours (Å) after each atom.
Atoms (fractional coordinates):
Tc 0.2398 0.2409 0.4093  6 S 2.39
Tc 0.2409 0.2398 0.5907  6 S 2.39
Tc 0.7591 0.7602 0.0907  6 S 2.39
Tc 0.7602 0.7591 0.9093  6 S 2.39
S 0.0935 0.4257 0.8675  3 Tc 2.39
S 0.0935 0.4257 0.9511  3 Tc 2.39
S 0.4257 0.0935 0.1325  3 Tc 2.39
S 0.4257 0.0935 0.0489  3 Tc 2.39
S 0.5743 0.9065 0.5489  3 Tc 2.39
S 0.5743 0.9065 0.6325  3 Tc 2.39
S 0.9065 0.5743 0.4511  3 Tc 2.39
S 0.9065 0.5743 0.3675  3 Tc 2.39

two) The following is a PBE-GGA calculation of a geometry-optimized TcS2 structure, from the Open Quantum Materials Database.

crystal system	cubic
V	14.5	Å³/atom

a = 4.9728 Å, b = 4.9728 Å, c = 4.9728 Å
α = 60.00°, β = 60.00°, γ = 60.00°
With the nearest neighbours (Å) after each atom.
Atoms (fractional coordinates):
Tc 0.1250 0.1250 0.1250  12 S 2.92, 4 Tc 3.05
Tc 0.8750 0.8750 0.8750  12 S 2.92, 4 Tc 3.05
S 0.0000 0.5000 0.5000  6 S 2.49
S 0.5000 0.0000 0.5000  6 S 2.49
S 0.5000 0.5000 0.0000  6 S 2.49
S 0.5000 0.5000 0.5000  6 S 2.49

three) The following is a PBE-GGA calculation of a geometry-optimized TcS2 structure, from the Open Quantum Materials Database.

crystal system	cubic
V	15.9	Å³/atom

a = 5.7596 Å, b = 5.7596 Å, c = 5.7596 Å
α = 90.00°, β = 90.00°, γ = 90.00°
With the nearest neighbours (Å) after each atom.
Atoms (fractional coordinates):
Tc 0.0000 0.0000 0.0000  6 S 2.40
Tc 0.0000 0.5000 0.5000  6 S 2.40
Tc 0.5000 0.0000 0.5000  6 S 2.40
Tc 0.5000 0.5000 0.0000  6 S 2.40
S 0.1180 0.6180 0.8820  1 S 2.35, 3 Tc 2.40
S 0.1180 0.8820 0.3820  1 S 2.35, 3 Tc 2.40
S 0.3820 0.1180 0.8820  1 S 2.35, 3 Tc 2.40
S 0.3820 0.3820 0.3820  1 S 2.35, 3 Tc 2.40
S 0.6180 0.6180 0.6180  1 S 2.35, 3 Tc 2.40
S 0.6180 0.8820 0.1180  1 S 2.35, 3 Tc 2.40
S 0.8820 0.1180 0.6180  1 S 2.35, 3 Tc 2.40
S 0.8820 0.3820 0.1180  1 S 2.35, 3 Tc 2.40

Top of the stability list: one), leading by 88 meV per atom.

one) The following is a PBE-GGA calculation of a geometry-optimized TcS2 structure, from the Open Quantum Materials Database.

crystal system	hexagonal
V	19.1	Å³/atom

a = 3.2864 Å, b = 3.2864 Å, c = 24.4619 Å
α = 90.00°, β = 90.00°, γ = 120.00°
With the nearest neighbours (Å) after each atom.
Atoms (fractional coordinates):
Tc 0.0000 0.0000 0.0000  6 S 2.39
Tc 0.0000 0.0000 0.2499  6 S 2.39
Tc 0.0000 0.0000 0.7501  6 S 2.39
Tc 0.6667 0.3333 0.5000  6 S 2.39
S 0.0000 0.0000 0.4407  3 Tc 2.39
S 0.0000 0.0000 0.5593  3 Tc 2.39
S 0.3333 0.6667 0.1907  3 Tc 2.39
S 0.3333 0.6667 0.3091  3 Tc 2.39
S 0.3333 0.6667 0.6909  3 Tc 2.39
S 0.3333 0.6667 0.8093  3 Tc 2.39
S 0.6667 0.3333 0.0592  3 Tc 2.39
S 0.6667 0.3333 0.9408  3 Tc 2.39

two) The following is a PBE-GGA calculation of a geometry-optimized TcS2 structure, from the Open Quantum Materials Database.

crystal system	monoclinic
V	15.7	Å³/atom

a = 5.8773 Å, b = 5.8288 Å, c = 5.9303 Å
α = 90.00°, β = 111.84°, γ = 90.00°
With the nearest neighbours (Å) after each atom.
Atoms (fractional coordinates):
Tc 0.2259 0.0005 0.2125  6 S 2.31-2.44
Tc 0.2259 0.4995 0.7125  6 S 2.31-2.44
Tc 0.7741 0.5005 0.2875  6 S 2.31-2.44
Tc 0.7741 0.9995 0.7875  6 S 2.31-2.44
S 0.1561 0.1326 0.8230  3 Tc 2.31-2.32, 1 S 2.39
S 0.1561 0.3674 0.3230  3 Tc 2.31-2.32, 1 S 2.39
S 0.3471 0.6235 0.1317  1 S 2.39, 3 Tc 2.41-2.44
S 0.3471 0.8765 0.6317  1 S 2.39, 3 Tc 2.41-2.44
S 0.6529 0.1235 0.3683  1 S 2.39, 3 Tc 2.41-2.44
S 0.6529 0.3765 0.8683  1 S 2.39, 3 Tc 2.41-2.44
S 0.8439 0.6326 0.6770  3 Tc 2.31-2.32, 1 S 2.39
S 0.8439 0.8674 0.1770  3 Tc 2.31-2.32, 1 S 2.39

Top of the stability list: two), leading by 145 meV per atom.

one) The following is a PBE-GGA calculation of a geometry-optimized UTeS structure, from the Open Quantum Materials Database.

crystal system	tetragonal
V	24.7	Å³/atom

a = 4.3527 Å, b = 4.3527 Å, c = 7.8199 Å
α = 90.00°, β = 90.00°, γ = 90.00°
With the nearest neighbours (Å) after each atom.
Atoms (fractional coordinates):
U 0.2500 0.2500 0.2093  4 S 2.72
U 0.7500 0.7500 0.7907  4 S 2.72
Te 0.2500 0.2500 0.6250  5 U 3.25-3.34
Te 0.7500 0.7500 0.3750  5 U 3.25-3.34
S 0.2500 0.7500 0.0000  4 U 2.72
S 0.7500 0.2500 0.0000  4 U 2.72

two) The following is a PBE-GGA calculation of a geometry-optimized UTeS structure, from the Open Quantum Materials Database.

crystal system	hexagonal
V	24.0	Å³/atom

a = 8.4908 Å, b = 8.4908 Å, c = 3.4623 Å
α = 90.00°, β = 90.00°, γ = 120.00°
With the nearest neighbours (Å) after each atom.
Atoms (fractional coordinates):
U 0.0000 0.2880 0.0000  4 Te 3.00-3.04, 4 S 3.16
U 0.2880 0.0000 0.0000  4 Te 3.00-3.04, 4 S 3.16
U 0.7120 0.7120 0.0000  4 Te 3.00-3.04, 4 S 3.16
Te 0.0000 0.0000 0.5000  3 S 2.81, 6 U 3.00
Te 0.3333 0.6667 0.0000  3 U 3.04, 6 S 3.33
Te 0.6667 0.3333 0.0000  3 U 3.04, 6 S 3.33
S 0.0000 0.6691 0.5000  1 Te 2.81
S 0.3309 0.3309 0.5000  1 Te 2.81
S 0.6691 0.0000 0.5000  1 Te 2.81

three) The following is a PBE-GGA calculation of a geometry-optimized UTeS structure, from the Open Quantum Materials Database.

crystal system	hexagonal
V	24.4	Å³/atom

a = 5.2806 Å, b = 5.2806 Å, c = 6.0501 Å
α = 90.00°, β = 90.00°, γ = 120.00°
With the nearest neighbours (Å) after each atom.
Atoms (fractional coordinates):
U 0.3333 0.6667 0.2500  5 Te 3.03-3.05
U 0.6667 0.3333 0.7500  5 Te 3.03-3.05
Te 0.3333 0.6667 0.7500  5 U 3.03-3.05
Te 0.6667 0.3333 0.2500  5 U 3.03-3.05
S 0.0000 0.0000 0.0000  2 S 3.03
S 0.0000 0.0000 0.5000  2 S 3.03

Top of the stability list: one), leading by 603 meV per atom.